# PBE-GGA TbPrHo4S8, optimized geometry
data_TbPrHo4S8
_cell_length_a 8.096
_cell_length_b 8.096
_cell_length_c 8.096
_cell_angle_alpha 59.86
_cell_angle_beta 59.86
_cell_angle_gamma 59.86
_space_group_name_H-M_alt 'P 1'
_space_group_IT_number 1
loop_
_space_group_symop_operation_xyz
'x,y,z'
loop_
_atom_site_label
_atom_site_type_symbol
_atom_site_fract_x
_atom_site_fract_y
_atom_site_fract_z
_atom_site_occupancy
Tb1 Tb 0.000 0.000 0.000 1
Pr1 Pr 0.625 0.625 0.625 1
Ho1 Ho 0.000 0.000 0.497 1
Ho2 Ho 0.000 0.497 0.000 1
Ho3 Ho 0.374 0.374 0.374 1
Ho4 Ho 0.497 0.000 0.000 1
S1 S 0.214 0.759 0.759 1
S2 S 0.242 0.242 0.242 1
S3 S 0.244 0.244 0.769 1
S4 S 0.244 0.769 0.244 1
S5 S 0.759 0.214 0.759 1
S6 S 0.759 0.759 0.214 1
S7 S 0.762 0.762 0.762 1
S8 S 0.769 0.244 0.244 1
# Density in g/cm3: 5.4
# Formation energy without anion corrections in meV per atom: -1924

***

# PBE-GGA YTh4Sb6, optimized geometry
data_YTh4Sb6
_cell_length_a 8.783
_cell_length_b 8.783
_cell_length_c 8.783
_cell_angle_alpha 89.59
_cell_angle_beta 89.59
_cell_angle_gamma 89.59
_space_group_name_H-M_alt 'P 1'
_space_group_IT_number 1
loop_
_space_group_symop_operation_xyz
'x,y,z'
loop_
_atom_site_label
_atom_site_type_symbol
_atom_site_fract_x
_atom_site_fract_y
_atom_site_fract_z
_atom_site_occupancy
Y1 Y 0.000 0.000 0.000 1
Y2 Y 0.500 0.500 0.500 1
Th1 Th 0.142 0.750 0.358 1
Th2 Th 0.250 0.250 0.250 1
Th3 Th 0.250 0.642 0.858 1
Th4 Th 0.358 0.142 0.750 1
Th5 Th 0.642 0.858 0.250 1
Th6 Th 0.750 0.358 0.142 1
Th7 Th 0.750 0.750 0.750 1
Th8 Th 0.858 0.250 0.642 1
Sb1 Sb 0.063 0.921 0.672 1
Sb2 Sb 0.079 0.328 0.937 1
Sb3 Sb 0.172 0.421 0.563 1
Sb4 Sb 0.328 0.937 0.079 1
Sb5 Sb 0.421 0.563 0.172 1
Sb6 Sb 0.437 0.828 0.579 1
Sb7 Sb 0.563 0.172 0.421 1
Sb8 Sb 0.579 0.437 0.828 1
Sb9 Sb 0.672 0.063 0.921 1
Sb10 Sb 0.828 0.579 0.437 1
Sb11 Sb 0.921 0.672 0.063 1
Sb12 Sb 0.937 0.079 0.328 1
# Density in g/cm3: 8.6
# Formation energy without anion corrections in meV per atom: -825

***

# PBE-GGA NaVTc2, optimized geometry
data_NaVTc2
_cell_length_a 4.375
_cell_length_b 4.375
_cell_length_c 4.375
_cell_angle_alpha 60.00
_cell_angle_beta 60.00
_cell_angle_gamma 60.00
_space_group_name_H-M_alt 'P 1'
_space_group_IT_number 1
loop_
_space_group_symop_operation_xyz
'x,y,z'
loop_
_atom_site_label
_atom_site_type_symbol
_atom_site_fract_x
_atom_site_fract_y
_atom_site_fract_z
_atom_site_occupancy
Na1 Na 0.000 0.000 0.000 1
V1 V 0.500 0.500 0.500 1
Tc1 Tc 0.250 0.250 0.250 1
Tc2 Tc 0.750 0.750 0.750 1
# E above lowest polymorph in meV/atom: 0
# Density in g/cm3: 7.6
# Formation enthalpy at 0 K in eV per atom: 0.73

***

# PBE-GGA Tb3NdSc, optimized geometry
data_Tb3NdSc
_cell_length_a 9.333
_cell_length_b 9.333
_cell_length_c 7.073
_cell_angle_alpha 100.77
_cell_angle_beta 100.77
_cell_angle_gamma 30.84
_space_group_name_H-M_alt 'P 1'
_space_group_IT_number 1
loop_
_space_group_symop_operation_xyz
'x,y,z'
loop_
_atom_site_label
_atom_site_type_symbol
_atom_site_fract_x
_atom_site_fract_y
_atom_site_fract_z
_atom_site_occupancy
Tb1 Tb 0.002 0.002 0.254 1
Tb2 Tb 0.202 0.202 0.844 1
Tb3 Tb 0.396 0.396 0.451 1
Tb4 Tb 0.604 0.604 0.549 1
Tb5 Tb 0.798 0.798 0.156 1
Tb6 Tb 0.998 0.998 0.746 1
Nd1 Nd 0.398 0.398 0.948 1
Nd2 Nd 0.602 0.602 0.052 1
Sc1 Sc 0.203 0.203 0.357 1
Sc2 Sc 0.797 0.797 0.643 1
# E above lowest polymorph in meV/atom: 0
# Density in g/cm3: 7.1
# Formation enthalpy at 0 K in eV per atom: 0.04

***

# PBE-GGA HgAu2Br, optimized geometry
data_HgAu2Br
_cell_length_a 7.190
_cell_length_b 7.190
_cell_length_c 7.190
_cell_angle_alpha 32.46
_cell_angle_beta 32.46
_cell_angle_gamma 32.46
_space_group_name_H-M_alt 'P 1'
_space_group_IT_number 1
loop_
_space_group_symop_operation_xyz
'x,y,z'
loop_
_atom_site_label
_atom_site_type_symbol
_atom_site_fract_x
_atom_site_fract_y
_atom_site_fract_z
_atom_site_occupancy
Hg1 Hg 0.000 0.000 0.000 1
Au1 Au 0.255 0.255 0.255 1
Au2 Au 0.745 0.745 0.745 1
Br1 Br 0.500 0.500 0.500 1
# E above lowest polymorph in meV/atom: 149
# Density in g/cm3: 11.8
# Formation energy without anion corrections in meV per atom: 166

***

# PBE-GGA CeSiRu3, optimized geometry
data_CeSiRu3
_cell_length_a 6.972
_cell_length_b 6.972
_cell_length_c 4.703
_cell_angle_alpha 90.00
_cell_angle_beta 90.00
_cell_angle_gamma 124.68
_space_group_name_H-M_alt 'P 1'
_space_group_IT_number 1
loop_
_space_group_symop_operation_xyz
'x,y,z'
loop_
_atom_site_label
_atom_site_type_symbol
_atom_site_fract_x
_atom_site_fract_y
_atom_site_fract_z
_atom_site_occupancy
Ce1 Ce 0.086 0.914 0.750 1
Ce2 Ce 0.914 0.086 0.250 1
Si1 Si 0.322 0.678 0.750 1
Si2 Si 0.678 0.322 0.250 1
Ru1 Ru 0.108 0.490 0.250 1
Ru2 Ru 0.490 0.108 0.750 1
Ru3 Ru 0.500 0.500 0.000 1
Ru4 Ru 0.500 0.500 0.500 1
Ru5 Ru 0.510 0.892 0.250 1
Ru6 Ru 0.892 0.510 0.750 1
# Density in g/cm3: 8.3
# Formation energy without anion corrections in meV per atom: 3

***

> Among the records above, which one has the lowest density?

TbPrHo4S8